Entry 1:
ScV2F | Alexandria via LeMat-Bulk | PBE with a Hubbard U | optimized geometry; total magnetic moment = 7.28 μB per formula unit; density of states at the Fermi level = 3.4 states/eV/f.u.; crystal system = tetragonal; raw total energy = -5.4688 eV/atom; energy above the lowest structure with this stoichiometry = 0 meV/atom
1.0
5.419 0.000 0.000
0.000 5.419 0.000
0.000 0.000 12.474
Sc V F
4 8 4
Cartesian
0.000 0.000 0.000
0.000 2.710 3.118
2.710 0.000 9.355
2.710 2.710 6.237
0.015 1.355 7.796
1.355 2.725 10.915
1.355 5.404 4.678
2.694 1.355 1.559
2.725 4.065 1.559
4.065 0.015 4.678
4.065 2.694 10.915
5.404 4.065 7.796
0.000 0.000 6.237
0.000 2.710 9.355
2.710 0.000 3.118
2.710 2.710 0.000



Entry 2:
Sc2VF | Alexandria via LeMat-Bulk | PBE with a Hubbard U | optimized geometry; total magnetic moment = 2.53 μB per formula unit; density of states at the Fermi level = 1.8 states/eV/f.u.; crystal system = trigonal; raw total energy = -6.2560 eV/atom; energy above the lowest structure with this stoichiometry = 0 meV/atom
1.0
3.331 0.000 0.000
-1.666 2.885 0.000
0.000 0.000 25.273
Sc V F
6 3 3
Cartesian
0.000 0.000 2.042
0.000 0.000 23.230
0.000 1.923 14.806
0.000 1.923 18.891
1.666 0.962 6.382
1.666 0.962 10.466
0.000 0.000 12.636
0.000 1.923 4.212
1.666 0.962 21.060
0.000 0.000 0.000
0.000 1.923 16.848
1.666 0.962 8.424



Entry 3:
Sc2VF | Alexandria via LeMat-Bulk | PBE with a Hubbard U | optimized geometry; total magnetic moment = 3.43 μB per formula unit; density of states at the Fermi level = 3.3 states/eV/f.u.; crystal system = tetragonal; raw total energy = -6.1057 eV/atom; energy above the lowest structure with this stoichiometry = 150 meV/atom
1.0
6.658 0.000 0.000
0.000 6.658 0.000
0.000 0.000 7.077
Sc V F
8 4 4
Cartesian
0.995 1.665 0.885
1.665 4.324 2.654
1.665 5.664 6.193
2.335 1.665 4.423
4.324 4.994 4.423
4.994 0.995 6.193
4.994 2.335 2.654
5.664 4.994 0.885
0.000 0.000 3.539
0.000 3.329 5.308
3.329 0.000 1.769
3.329 3.329 0.000
0.000 0.000 0.000
0.000 3.329 1.769
3.329 0.000 5.308
3.329 3.329 3.539



Entry 4:
Sc2VF | Alexandria via LeMat-Bulk | PBE with a Hubbard U | optimized geometry; total magnetic moment = 3.14 μB per formula unit; density of states at the Fermi level = 4.9 states/eV/f.u.; crystal system = trigonal; raw total energy = -5.9466 eV/atom; energy above the lowest structure with this stoichiometry = 309 meV/atom
1.0
3.040 0.000 0.000
-1.520 2.633 0.000
0.000 0.000 26.929
Sc V F
6 3 3
Cartesian
0.000 0.000 2.743
0.000 0.000 24.186
0.000 1.755 15.210
0.000 1.755 20.695
1.520 0.878 6.234
1.520 0.878 11.719
0.000 0.000 0.000
0.000 1.755 17.953
1.520 0.878 8.976
0.000 0.000 13.464
0.000 1.755 4.488
1.520 0.878 22.441